(1)
VASP calculation (PBE) on a relaxed structure of MnMo2As.

Summary:
DOS(E_F) (states/eV/cell): 2.42
Theoretical density (kg/m3): 9297
VASP energy (eV/atom): -8.7256

a = 3.1505 Å, b = 4.4837 Å, c = 4.0680 Å
α = 90.00°, β = 90.00°, γ = 90.00°
Each line ends with the local moment (μB).
Atoms (fractional coordinates):
Mo: 0.5000 0.5000 0.0000  -0.10
Mo: 0.0000 0.0000 0.0000  0.00
As: 0.5000 0.0000 0.5000  -0.01
Mn: 0.0000 0.5000 0.5000  0.26

***

(2)
VASP calculation (PBE) on a relaxed structure of Mn4MoAs.

Summary:
DOS(E_F) (states/eV/cell): 7.88
Theoretical density (kg/m3): 8523
VASP energy (eV/atom): -8.4812

a = 4.7567 Å, b = 4.7567 Å, c = 4.7567 Å
α = 60.00°, β = 60.00°, γ = 60.00°
Each line ends with the local moment (μB).
Atoms (fractional coordinates):
Mn: 0.3750 0.3750 0.3750  1.31
Mn: 0.8749 0.3750 0.3750  1.31
Mn: 0.3750 0.3750 0.8749  1.31
Mn: 0.3750 0.8749 0.3750  1.31
Mo: 0.7500 0.7500 0.7500  -0.46
As: 0.0000 0.0000 0.0000  -0.01

***

(3)
VASP calculation (PBE) on a relaxed structure of Mn2MoAs.

Summary:
DOS(E_F) (states/eV/cell): 3.40
Theoretical density (kg/m3): 7673
VASP energy (eV/atom): -8.0539

a = 6.8537 Å, b = 6.8537 Å, c = 5.4934 Å
α = 51.41°, β = 51.41°, γ = 90.00°
Each line ends with the local moment (μB).
Atoms (fractional coordinates):
Mo: 0.0000 0.0000 0.0000  -0.54
Mo: 0.7500 0.2500 0.5000  -0.56
Mn: 0.6128 0.1250 0.2500  2.73
Mn: 0.8750 0.8628 0.7500  2.70
Mn: 0.1372 0.6250 0.2500  2.71
Mn: 0.3750 0.3872 0.7500  2.73
As: 0.5000 0.5000 0.0000  -0.04
As: 0.2500 0.7500 0.5000  -0.04

***

(4)
VASP calculation (PBE) on a relaxed structure of MnMoAs2.

Summary:
DOS(E_F) (states/eV/cell): 2.40
Energy above the most stable polymorph in this dataset (eV per atom): 0.3293
Theoretical density (kg/m3): 7275
VASP energy (eV/atom): -7.2545

a = 7.2706 Å, b = 7.2706 Å, c = 7.2706 Å
α = 26.75°, β = 26.75°, γ = 26.75°
Each line ends with the local moment (μB).
Atoms (fractional coordinates):
As: 0.0007 0.0007 0.0007  -0.01
As: 0.4993 0.4993 0.4993  -0.01
Mn: 0.2500 0.2500 0.2500  3.83
Mo: 0.7500 0.7500 0.7500  0.60

***

- Which of these has the lowest DOS(E_F)?
  MnMoAs2

***

- What is the formula in the second record?
  Mn4MoAs

***

- Which of these has the lowest DOS(E_F)?
  MnMoAs2